# 1
## Al5AgPd4 (PBE-GGA)

Data for a relaxed Al5AgPd4 crystal.

Summary:
As for the symmetry: No. 123. The value obtained for the formation energy from the elements is -707.3 meV per atom.

Cell and atoms, written as POSCAR:
```
Al5AgPd4
1.0
3.0952 0.0000 0.0000
0.0000 3.0952 0.0000
0.0000 0.0000 15.6189
Al Pd Ag
5 4 1
Direct
0.5000 0.5000 0.8869 Al
0.5000 0.5000 0.1131 Al
0.5000 0.5000 0.5000 Al
0.5000 0.5000 0.6939 Al
0.5000 0.5000 0.3061 Al
0.0000 0.0000 0.4022 Pd
0.0000 0.0000 0.7944 Pd
0.0000 0.0000 0.5978 Pd
0.0000 0.0000 0.2056 Pd
0.0000 0.0000 0.0000 Ag
```

=====

# 2
## Al2AgPd (PBE-GGA)

Data for a relaxed Al2AgPd crystal.

Summary:
As for the symmetry: No. 225. The value obtained for the formation energy from the elements is -437.4 meV per atom. Its energy above the most stable polymorph in this dataset is 1.3 kJ per mole of atoms.

Cell and atoms, written as POSCAR:
```
Al2AgPd
1.0
0.0000 3.1359 3.1359
3.1359 0.0000 3.1359
3.1359 3.1359 0.0000
Al Pd Ag
2 1 1
Direct
0.7500 0.7500 0.7500 Al
0.2500 0.2500 0.2500 Al
0.0000 0.0000 0.0000 Pd
0.5000 0.5000 0.5000 Ag
```

=====

D(E_F), record by record: 2.64, 0.92 states/eV/f.u.